A relaxed structure of Pm2NdDy3S6. Source: Alexandria via LeMat-Bulk, functional PBE.

Properties
**Electronic total energy**: -6.422 eV/atom
**Symmetry**: No. 12
**Raw formation energy**: -2.02 eV/atom
**Crystal system**: monoclinic

The structure in POSCAR format:
```
Pm2NdDy3S6
1.0
-5.0268 -0.2520 -4.6637
6.4999 -1.1574 -1.8692
-1.2849 -5.9164 3.3830
Pm Nd Dy S
2 1 3 6
Direct
0.3334 0.6666 0.0000 Pm
0.6666 0.3334 0.0000 Pm
0.0000 0.0000 0.0000 Nd
0.1660 0.8340 0.5000 Dy
0.8340 0.1660 0.5000 Dy
0.5000 0.5000 0.5000 Dy
0.9121 0.5770 0.7365 S
0.7527 0.7527 0.2631 S
0.0879 0.4230 0.2635 S
0.5770 0.9121 0.7365 S
0.2473 0.2473 0.7369 S
0.4230 0.0879 0.2635 S
```